[1]
# MgCd4Pd7

MgCd4Pd7 after structural relaxation (PBE-GGA, Alexandria via LeMat-Bulk).

As for the formation energy from the elements: -221 meV per atom. The total DFT energy (no corrections) comes out at -44.26 eV for the cell shown. The symmetry is C2/m (12).

a b c (Å): 5.677 5.677 10.143
angles (deg): 116.48 116.48 51.06
Positions (direct):
Mg 0.000 0.000 0.000
Cd 0.267 0.267 0.687
Cd 0.409 0.409 0.228
Cd 0.591 0.591 0.772
Cd 0.733 0.733 0.313
Pd 0.039 0.039 0.375
Pd 0.203 0.203 0.921
Pd 0.348 0.348 0.465
Pd 0.500 0.500 0.000
Pd 0.652 0.652 0.535
Pd 0.797 0.797 0.079
Pd 0.961 0.961 0.625



[2]
# PuScCdGe

PuScCdGe after structural relaxation (PBE-GGA, Alexandria via LeMat-Bulk).

As for the formation energy from the elements: -287 meV per atom. The total DFT energy (no corrections) comes out at -27.34 eV for the cell shown. The symmetry is F-43m (216).

a b c (Å): 5.039 5.039 5.039
angles (deg): 60.00 60.00 60.00
Positions (direct):
Pu 0.000 0.000 0.000
Sc 0.500 0.500 0.500
Cd 0.250 0.250 0.250
Ge 0.750 0.750 0.750



[3]
# LaTlRe2

LaTlRe2 after structural relaxation (PBE-GGA, Alexandria via LeMat-Bulk).

As for the excess energy over the best structure of this formula in the dataset: 894.1 meV per atom. As for the formation energy from the elements: 1085 meV per atom. The total DFT energy (no corrections) comes out at -27.85 eV for the cell shown. The symmetry is Cmmm (65).

a b c (Å): 5.536 5.536 2.848
angles (deg): 90.00 90.00 110.04
Positions (direct):
La 0.000 0.000 0.000
Tl 0.500 0.500 0.000
Re 0.000 0.500 0.500
Re 0.500 0.000 0.500



[4]
# K2TlCd4Bi3

K2TlCd4Bi3 after structural relaxation (PBE-GGA, Alexandria via LeMat-Bulk).

As for the formation energy from the elements: -191 meV per atom. The total DFT energy (no corrections) comes out at -21.77 eV for the cell shown. The symmetry is P-4m2 (115).

a b c (Å): 5.136 5.136 12.671
angles (deg): 90.00 90.00 90.00
Positions (direct):
K 0.000 0.500 0.246
K 0.500 0.000 0.754
Tl 0.000 0.000 0.500
Cd 0.000 0.000 0.000
Cd 0.000 0.500 0.635
Cd 0.500 0.000 0.365
Cd 0.500 0.500 0.000
Bi 0.000 0.500 0.868
Bi 0.500 0.000 0.132
Bi 0.500 0.500 0.500